(1)
Below is an optimized crystal structure of La5Sm3Dy3, with properties calculated at the PBE level.

Summary:
DOS at the Fermi energy = 16.71 states/eV/cell
calculated volume = 36.13 Å³/atom
magnetization = 0.000 μB per formula unit

Cell lengths 11.471, 11.471, 3.487 Å; angles 90.00, 90.00, 120.00 degrees
Fractional positions:
La (0.000, 0.662, 0.000)
La (0.333, 0.667, 0.000)
La (0.338, 0.338, 0.000)
La (0.662, 0.000, 0.000)
La (0.667, 0.333, 0.000)
Sm (0.000, 0.402, 0.500)
Sm (0.402, 0.000, 0.500)
Sm (0.598, 0.598, 0.500)
Dy (0.000, 0.159, 0.000)
Dy (0.159, 0.000, 0.000)
Dy (0.841, 0.841, 0.000)

***

(2)
Below is an optimized crystal structure of La3Sm2Dy7, with properties calculated at the PBE level.

Summary:
DOS at the Fermi energy = 21.02 states/eV/cell
calculated volume = 35.51 Å³/atom
magnetization = 0.002 μB per formula unit

Cell lengths 3.676, 5.667, 20.534 Å; angles 90.00, 95.14, 90.00 degrees
Fractional positions:
La (0.000, 0.000, 0.000)
La (0.327, 0.500, 0.654)
La (0.673, 0.500, 0.346)
Sm (0.138, 0.000, 0.275)
Sm (0.862, 0.000, 0.725)
Dy (0.084, 0.500, 0.168)
Dy (0.216, 0.000, 0.432)
Dy (0.432, 0.000, 0.864)
Dy (0.500, 0.500, 0.000)
Dy (0.568, 0.000, 0.136)
Dy (0.784, 0.000, 0.568)
Dy (0.916, 0.500, 0.832)

***

(3)
Below is an optimized crystal structure of LaSmDy, with properties calculated at the PBE level.

Summary:
DOS at the Fermi energy = 4.25 states/eV/cell
excess energy over the best structure of this formula in the dataset = 0.0 meV per atom
calculated volume = 34.07 Å³/atom
magnetization = 0.000 μB per formula unit

Cell lengths 3.640, 3.640, 8.911 Å; angles 90.00, 90.00, 120.00 degrees
Fractional positions:
La (0.000, 0.000, 0.000)
Sm (0.667, 0.333, 0.343)
Dy (0.333, 0.667, 0.666)

***

(4)
Below is an optimized crystal structure of La8SmDy3, with properties calculated at the PBE level.

Summary:
DOS at the Fermi energy = 18.48 states/eV/cell
calculated volume = 37.68 Å³/atom
magnetization = 0.000 μB per formula unit

Cell lengths 8.813, 8.813, 8.813 Å; angles 134.11, 101.03, 96.47 degrees
Fractional positions:
La (0.085, 0.248, 0.837)
La (0.275, 0.222, 0.496)
La (0.275, 0.778, 0.053)
La (0.412, 0.248, 0.163)
La (0.588, 0.752, 0.837)
La (0.725, 0.222, 0.947)
La (0.725, 0.778, 0.504)
La (0.915, 0.752, 0.163)
Sm (0.500, 0.500, 0.000)
Dy (0.000, 0.000, 0.000)
Dy (0.266, 0.766, 0.500)
Dy (0.734, 0.234, 0.500)

***

| no. | E_form (eV per atom) | VASP energy (eV per atom) |
| --- | --- | --- |
| 1 | 0.287 | -4.495 |
| 2 | 0.234 | -4.469 |
| 3 | 0.020 | -4.730 |
| 4 | 0.315 | -4.514 |